SCAN Be2TcBr, PBEsol geometry; offset from the most stable computed form = 1.27 eV per formula unit
1.0
-1.735 -2.592 0.563
3.907 -0.315 1.668
-1.578 1.907 3.916
Br Be Tc
1 2 1
direct
0.000 0.000 0.000
0.797 0.593 0.618
0.203 0.407 0.382
0.500 0.000 0.500